[1]
Compound: ZrTa2Fe
Source: Alexandria via LeMat-Bulk
Functional: PBE
Structure: optimized geometry

Computed properties:
- Energy of formation from the pure elements: 0.0062 eV/atom
- Crystal system: tetragonal
- Volume: 69.8 Å³ per cell
- ΔE to the lowest computed polymorph: 35 meV/atom
- DFT total energy: -10.17 eV/atom

Lattice parameters (Å, degrees): 3.083 3.083 7.343 90.00 90.00 90.00
Space group P4/mmm (No. 123)
Inequivalent atoms, fractional coordinates:
1 Zr 0.000 0.000 0.000 (multiplicity 1)
2 Ta 0.500 0.500 0.294 (multiplicity 2)
3 Fe 0.000 0.000 0.500 (multiplicity 1)

[2]
Compound: Y12Tm7Th
Source: Alexandria via LeMat-Bulk
Functional: PBE
Structure: optimized geometry

Computed properties:
- Energy of formation from the pure elements: 0.3186 eV/atom
- Crystal system: trigonal
- Volume: 2008.5 Å³ per cell
- ΔE to the lowest computed polymorph: 73 meV/atom
- DFT total energy: -5.50 eV/atom

Lattice parameters (Å, degrees): 19.4363 19.4363 6.1392 90.00 90.00 120.00
Space group R-3 (No. 148, hexagonal axes)
Inequivalent atoms, fractional coordinates:
1 Y 0.9995 0.4139 0.9998 (multiplicity 18)
2 Y 0.0981 0.5485 0.4389 (multiplicity 18)
3 Tm 0.0000 0.0000 0.0000 (multiplicity 3)
4 Tm 0.0817 0.1648 0.2704 (multiplicity 18)
5 Th 0.0000 0.0000 0.5000 (multiplicity 3)

[3]
Compound: Pa3H
Source: Alexandria via LeMat-Bulk
Functional: PBE
Structure: optimized geometry

Computed properties:
- Crystal system: hexagonal
- Volume: 157.8 Å³ per cell
- ΔE to the lowest computed polymorph: 502 meV/atom
- DFT total energy: -7.44 eV/atom

Lattice parameters (Å, degrees): 6.8462 6.8462 3.8872 90.00 90.00 120.00
Space group P6_3/mmc (No. 194)
Inequivalent atoms, fractional coordinates:
1 Pa 0.1883 0.3766 0.2500 (multiplicity 6)
2 H 0.3333 0.6667 0.7500 (multiplicity 2)

[4]
Compound: Li3Be5
Source: Alexandria via LeMat-Bulk
Functional: PBE
Structure: optimized geometry

Computed properties:
- Energy of formation from the pure elements: 0.1286 eV/atom
- Crystal system: triclinic
- Volume: 176.7 Å³ per cell
- DFT total energy: -2.92 eV/atom

Lattice parameters (Å, degrees): 4.010 5.762 8.447 79.15 76.48 69.65
Space group P-1 (No. 2)
Inequivalent atoms, fractional coordinates:
1 Li 0.101 0.444 0.358 (multiplicity 2)
2 Li 0.206 0.515 0.074 (multiplicity 2)
3 Li 0.335 0.838 0.493 (multiplicity 2)
4 Be 0.067 0.110 0.756 (multiplicity 2)
5 Be 0.233 0.729 0.805 (multiplicity 2)
6 Be 0.248 0.000 0.000 (multiplicity 2)
7 Be 0.354 0.074 0.222 (multiplicity 2)
8 Be 0.440 0.311 0.806 (multiplicity 2)